[1]
Compound: La3Ni
Source: OQMD
Functional: PBE
Structure: relaxed

abc: 7.1524 10.1730 6.6008
angles: 90.00 90.00 90.00
Last column: nearest neighbours and their distance in Å.
Atoms (fractional coordinates):
La 0.0346 0.2500 0.1475  2 Ni 2.88-3.01
La 0.1724 0.0674 0.6716  2 Ni 2.86-2.92
La 0.1724 0.4326 0.6716  2 Ni 2.86-2.92
La 0.3276 0.5674 0.1716  2 Ni 2.86-2.92
La 0.3276 0.9326 0.1716  2 Ni 2.86-2.92
La 0.4654 0.7500 0.6475  2 Ni 2.88-3.01
La 0.5346 0.2500 0.3525  2 Ni 2.88-3.01
La 0.6724 0.0674 0.8284  2 Ni 2.86-2.92
La 0.6724 0.4326 0.8284  2 Ni 2.86-2.92
La 0.8276 0.5674 0.3284  2 Ni 2.86-2.92
La 0.8276 0.9326 0.3284  2 Ni 2.86-2.92
La 0.9654 0.7500 0.8525  2 Ni 2.88-3.01
Ni 0.1179 0.7500 0.4275  6 La 2.86-3.01
Ni 0.3821 0.2500 0.9275  6 La 2.86-3.01
Ni 0.6179 0.7500 0.0725  6 La 2.86-3.01
Ni 0.8821 0.2500 0.5725  6 La 2.86-3.01

M_tot   0.00 μB per formula unit
Electronic total energy   -84.5 eV for the cell shown
ΔE_f   -0.8 eV per formula unit
Mass density   6.57 g/cm3

***

[2]
Compound: La3Ni
Source: OQMD
Functional: PBE
Structure: relaxed

abc: 8.2363 8.5530 6.5281
angles: 90.00 90.00 90.00
Last column: nearest neighbours and their distance in Å.
Atoms (fractional coordinates):
La 0.0402 0.2500 0.0961  2 Ni 3.18-3.39, 2 La 3.50
La 0.1712 0.0490 0.6236  3 Ni 2.90-3.03
La 0.1712 0.4510 0.6236  3 Ni 2.90-3.03
La 0.3288 0.5490 0.1236  3 Ni 2.90-3.03
La 0.3288 0.9510 0.1236  3 Ni 2.90-3.03
La 0.4598 0.7500 0.5961  2 Ni 3.18-3.39, 2 La 3.50
La 0.5402 0.2500 0.4039  2 Ni 3.18-3.39, 2 La 3.50
La 0.6712 0.0490 0.8764  3 Ni 2.90-3.03
La 0.6712 0.4510 0.8764  3 Ni 2.90-3.03
La 0.8288 0.5490 0.3764  3 Ni 2.90-3.03
La 0.8288 0.9510 0.3764  3 Ni 2.90-3.03
La 0.9598 0.7500 0.9039  2 Ni 3.18-3.39, 2 La 3.50
Ni 0.1115 0.7500 0.3872  7 La 2.90-3.18
Ni 0.3885 0.2500 0.8872  7 La 2.90-3.18
Ni 0.6115 0.7500 0.1128  7 La 2.90-3.18
Ni 0.8885 0.2500 0.6128  7 La 2.90-3.18

M_tot   0.00 μB per formula unit
Electronic total energy   -83.5 eV for the cell shown
ΔE_f   -0.5 eV per formula unit
Mass density   6.87 g/cm3

***

[3]
Compound: La3Ni2
Source: OQMD
Functional: PBE
Structure: relaxed

abc: 7.1286 7.1286 10.0491
angles: 106.68 106.68 31.25
Last column: nearest neighbours and their distance in Å.
Atoms (fractional coordinates):
La 0.0981 0.0981 0.1750  3 Ni 2.84-2.95
La 0.3537 0.3537 0.1302  4 Ni 2.93-3.03
La 0.3705 0.3705 0.4992  6 Ni 2.91-3.04
La 0.6295 0.6295 0.5008  6 Ni 2.91-3.04
La 0.6463 0.6463 0.8698  4 Ni 2.93-3.03
La 0.9019 0.9019 0.8250  3 Ni 2.84-2.95
Ni 0.0349 0.0349 0.6418  2 Ni 2.72-2.74, 7 La 2.91-3.03
Ni 0.2436 0.2436 0.7291  1 Ni 2.74, 6 La 2.84-3.04
Ni 0.7564 0.7564 0.2709  1 Ni 2.74, 6 La 2.84-3.04
Ni 0.9651 0.9651 0.3582  2 Ni 2.72-2.74, 7 La 2.91-3.03

M_tot   0.00 μB per formula unit
Electronic total energy   -54.6 eV for the cell shown
ΔE_f   -1.4 eV per formula unit
Mass density   7.01 g/cm3